Record 1
{
  "formula": "Ta3AlNi",
  "functional": "GGA-PBE",
  "state": "optimized geometry",
  "lattice_angstrom": [[4.5944, 0.0000, 0.0000], [0.0000, 4.5944, 0.0000], [0.0000, 0.0000, 4.5944]],
  "species": ["Ni", "Al", "Ta", "Ta", "Ta"],
  "fractional_positions": [[0.0000, 0.0000, 0.0000], [0.5000, 0.5000, 0.5000], [0.0000, 0.5000, 0.0000], [0.0000, 0.0000, 0.5000], [0.5000, 0.0000, 0.0000]],
  "relative_energy_mev_per_atom": 0,
  "volume_a3_per_atom": 19.40,
  "delta_e_f_ev_per_fu": 3.64
}

---

Record 2
{
  "formula": "Ta2AlNi",
  "functional": "GGA-PBE",
  "state": "optimized geometry",
  "lattice_angstrom": [[-3.5492, -1.4014, 0.1330], [0.8322, -1.7674, 3.5845], [-1.2329, 3.3041, 1.9154]],
  "species": ["Ni", "Al", "Ta", "Ta"],
  "fractional_positions": [[0.0000, 0.5000, 0.5000], [0.5000, 0.0000, 0.5000], [0.0000, 0.0000, 0.0000], [0.5000, 0.5000, 0.0000]],
  "volume_a3_per_atom": 15.64,
  "delta_e_f_ev_per_fu": -0.73
}

---

Record 3
{
  "formula": "Ta2AlNi",
  "functional": "GGA-PBE",
  "state": "optimized geometry",
  "lattice_angstrom": [[-3.2960, 3.3451, 1.9883], [-4.7108, -0.0427, -1.9528], [3.2590, -3.4757, 1.8179]],
  "species": ["Ni", "Al", "Ta", "Ta"],
  "fractional_positions": [[0.7500, 0.2500, 0.5000], [0.5000, 0.5000, 0.0000], [0.0000, 0.0000, 0.0000], [0.2500, 0.7500, 0.5000]],
  "volume_a3_per_atom": 15.70,
  "delta_e_f_ev_per_fu": -0.46
}

---

Copy entry 1 word for word.
{
  "formula": "Ta3AlNi",
  "functional": "GGA-PBE",
  "state": "optimized geometry",
  "lattice_angstrom": [[4.5944, 0.0000, 0.0000], [0.0000, 4.5944, 0.0000], [0.0000, 0.0000, 4.5944]],
  "species": ["Ni", "Al", "Ta", "Ta", "Ta"],
  "fractional_positions": [[0.0000, 0.0000, 0.0000], [0.5000, 0.5000, 0.5000], [0.0000, 0.5000, 0.0000], [0.0000, 0.0000, 0.5000], [0.5000, 0.0000, 0.0000]],
  "relative_energy_mev_per_atom": 0,
  "volume_a3_per_atom": 19.40,
  "delta_e_f_ev_per_fu": 3.64
}